No. 1
A plane-wave DFT calculation with PBE-GGA was carried out for an optimized crystal structure of Y2ThZrP4.

abc: 3.982 6.894 6.895
angles: 109.40 90.00 90.00
Positions (direct):
Y (0.500, 0.000, 0.500)
Y (0.000, 0.500, 0.500)
Th (0.500, 0.500, 0.000)
Zr (0.000, 0.000, 0.000)
P (0.500, 0.236, 0.241)
P (0.500, 0.764, 0.759)
P (0.000, 0.238, 0.750)
P (0.000, 0.762, 0.250)

Values from the calculation:
Density of states at the Fermi level   3.961 states/eV/cell
Total energy   -0.5751 Ry/atom
Formation energy   -1507 meV/atom

***

No. 2
A plane-wave DFT calculation with PBE-GGA was carried out for an optimized crystal structure of Th2ZnP.

abc: 3.981 3.981 8.128
angles: 75.82 75.82 60.00
Positions (direct):
Th (0.072, 0.072, 0.783)
Th (0.261, 0.261, 0.217)
Zn (0.499, 0.499, 0.502)
P (0.667, 0.667, 0.998)

Values from the calculation:
Offset from the most stable computed form   0.000 eV/atom
Density of states at the Fermi level   4.365 states/eV/cell
Total energy   -0.4442 Ry/atom
Formation energy   -662 meV/atom

***

No. 3
A plane-wave DFT calculation with PBE-GGA was carried out for an optimized crystal structure of ThZnP.

abc: 4.719 4.719 7.977
angles: 72.80 72.80 60.00
Positions (direct):
Th (0.589, 0.589, 0.233)
Th (0.411, 0.411, 0.767)
P (0.284, 0.284, 0.147)
P (0.716, 0.716, 0.853)
Zn (0.828, 0.828, 0.515)
Zn (0.172, 0.172, 0.485)

Values from the calculation:
Density of states at the Fermi level   1.084 states/eV/cell
Total energy   -0.4019 Ry/atom
Formation energy   -767 meV/atom

***

No. 4
A plane-wave DFT calculation with PBE-GGA was carried out for an optimized crystal structure of Th2ZnP.

abc: 3.867 3.867 9.930
angles: 78.77 78.77 60.00
Positions (direct):
P (0.500, 0.500, 0.500)
Zn (0.000, 0.000, 0.000)
Th (0.108, 0.108, 0.676)
Th (0.892, 0.892, 0.324)

Values from the calculation:
Offset from the most stable computed form   0.409 eV/atom
Density of states at the Fermi level   4.425 states/eV/cell
Total energy   -0.4141 Ry/atom
Formation energy   -253 meV/atom

***

No. 5
A plane-wave DFT calculation with PBE-GGA was carried out for an optimized crystal structure of ThZrP2.

abc: 3.952 3.952 6.798
angles: 73.10 73.10 60.00
Positions (direct):
P (0.258, 0.258, 0.226)
P (0.742, 0.742, 0.774)
Zr (0.000, 0.000, 0.000)
Th (0.500, 0.500, 0.500)

Values from the calculation:
Offset from the most stable computed form   0.000 eV/atom
Density of states at the Fermi level   2.239 states/eV/cell
Total energy   -0.5976 Ry/atom
Formation energy   -1434 meV/atom

***

No. 6
A plane-wave DFT calculation with PBE-GGA was carried out for an optimized crystal structure of ThZrP2.

abc: 3.898 3.898 7.079
angles: 74.02 74.02 60.00
Positions (direct):
Th (0.672, 0.672, 0.983)
Zr (0.494, 0.494, 0.517)
P (0.091, 0.091, 0.726)
P (0.242, 0.242, 0.274)

Values from the calculation:
Offset from the most stable computed form   0.104 eV/atom
Density of states at the Fermi level   0.598 states/eV/cell
Total energy   -0.5900 Ry/atom
Formation energy   -1331 meV/atom

***

No. 7
A plane-wave DFT calculation with PBE-GGA was carried out for an optimized crystal structure of ThZr2P.

abc: 3.607 3.607 8.829
angles: 79.33 79.33 58.42
Positions (direct):
Th (0.460, 0.460, 0.499)
Zr (0.061, 0.061, 0.824)
Zr (0.299, 0.299, 0.178)
P (0.680, 0.680, 0.000)

Values from the calculation:
Density of states at the Fermi level   4.906 states/eV/cell
Total energy   -0.5929 Ry/atom
Formation energy   -585 meV/atom

***

No. 8
A plane-wave DFT calculation with PBE-GGA was carried out for an optimized crystal structure of ThZrP.

abc: 6.499 6.499 7.291
angles: 63.53 63.53 60.00
Positions (direct):
P (0.176, 0.176, 0.473)
P (0.323, 0.323, 0.030)
P (0.650, 0.650, 0.049)
Th (0.751, 0.423, 0.747)
Th (0.080, 0.751, 0.747)
Th (0.423, 0.080, 0.747)
Zr (0.600, 0.918, 0.253)
Zr (0.918, 0.229, 0.253)
Zr (0.229, 0.600, 0.253)

Values from the calculation:
Density of states at the Fermi level   7.471 states/eV/cell
Total energy   -0.5772 Ry/atom
Formation energy   -727 meV/atom

***

No. 9
A plane-wave DFT calculation with PBE-GGA was carried out for an optimized crystal structure of Th2ZrP3.

abc: 4.048 4.048 8.954
angles: 103.05 103.05 90.04
Positions (direct):
Th (0.099, 0.100, 0.204)
Th (0.769, 0.771, 0.544)
Zr (0.434, 0.436, 0.874)
P (0.934, 0.936, 0.874)
P (0.274, 0.276, 0.554)
P (0.594, 0.596, 0.194)

Values from the calculation:
Density of states at the Fermi level   2.943 states/eV/cell
Total energy   -0.5875 Ry/atom
Formation energy   -1390 meV/atom

***

No. 10
A plane-wave DFT calculation with PBE-GGA was carried out for an optimized crystal structure of Ti3P.

abc: 3.194 4.863 4.989
angles: 119.16 108.67 90.00
Positions (direct):
P (0.000, 0.045, 0.000)
Ti (0.287, 0.629, 0.574)
Ti (0.500, 0.437, 0.000)
Ti (0.713, 0.056, 0.426)

Values from the calculation:
Density of states at the Fermi level   4.322 states/eV/cell
Total energy   -0.5743 Ry/atom
Formation energy   -540 meV/atom

***

No. 11
A plane-wave DFT calculation with PBE-GGA was carried out for an optimized crystal structure of Ti3P.

abc: 4.948 7.478 7.478
angles: 83.72 70.68 70.68
Positions (direct):
Ti (0.378, 0.972, 0.809)
Ti (0.160, 0.028, 0.191)
Ti (0.812, 0.809, 0.028)
Ti (0.649, 0.191, 0.972)
Ti (0.550, 0.334, 0.610)
Ti (0.494, 0.666, 0.390)
Ti (0.840, 0.610, 0.666)
Ti (0.117, 0.390, 0.334)
Ti (0.966, 0.964, 0.602)
Ti (0.532, 0.036, 0.398)
Ti (0.432, 0.602, 0.036)
Ti (0.070, 0.398, 0.964)
P (0.068, 0.251, 0.668)
P (0.987, 0.749, 0.332)
P (0.264, 0.668, 0.749)
P (0.681, 0.332, 0.251)

Values from the calculation:
Density of states at the Fermi level   12.811 states/eV/cell
Total energy   -0.5965 Ry/atom
Formation energy   -842 meV/atom

***

No. 12
A plane-wave DFT calculation with PBE-GGA was carried out for an optimized crystal structure of Ti4P.

abc: 4.545 4.545 4.545
angles: 90.00 90.00 90.00
Site moments in Bohr magnetons follow the coordinates.
Positions (direct):
P (0.500, 0.500, 0.500)  0.00
Ti (0.000, 0.000, 0.000)  0.63
Ti (0.500, 0.000, 0.500)  0.05
Ti (0.000, 0.500, 0.500)  0.05
Ti (0.500, 0.500, 0.000)  0.05

Values from the calculation:
Density of states at the Fermi level   4.936 states/eV/cell
Total energy   -0.5538 Ry/atom
Formation energy   -137 meV/atom

***

No. 13
A plane-wave DFT calculation with PBE-GGA was carried out for an optimized crystal structure of Ti3P.

abc: 9.948 9.948 4.976
angles: 90.00 90.00 90.00
Positions (direct):
Ti (0.972, 0.861, 0.281)
Ti (0.361, 0.528, 0.781)
Ti (0.639, 0.472, 0.781)
Ti (0.028, 0.139, 0.281)
Ti (0.528, 0.639, 0.219)
Ti (0.139, 0.972, 0.719)
Ti (0.861, 0.028, 0.719)
Ti (0.472, 0.361, 0.219)
Ti (0.819, 0.284, 0.010)
Ti (0.784, 0.681, 0.510)
Ti (0.216, 0.319, 0.510)
Ti (0.181, 0.716, 0.010)
Ti (0.681, 0.216, 0.490)
Ti (0.716, 0.819, 0.990)
Ti (0.284, 0.181, 0.990)
Ti (0.319, 0.784, 0.490)
Ti (0.917, 0.393, 0.535)
Ti (0.893, 0.583, 0.035)
Ti (0.107, 0.417, 0.035)
Ti (0.083, 0.607, 0.535)
Ti (0.583, 0.107, 0.965)
Ti (0.607, 0.917, 0.465)
Ti (0.393, 0.083, 0.465)
Ti (0.417, 0.893, 0.965)
P (0.459, 0.293, 0.714)
P (0.793, 0.041, 0.214)
P (0.207, 0.959, 0.214)
P (0.541, 0.707, 0.714)
P (0.041, 0.207, 0.786)
P (0.707, 0.459, 0.286)
P (0.293, 0.541, 0.286)
P (0.959, 0.793, 0.786)

Values from the calculation:
Density of states at the Fermi level   27.974 states/eV/cell
Total energy   -0.5976 Ry/atom
Formation energy   -857 meV/atom

***

No. 14
A plane-wave DFT calculation with PBE-GGA was carried out for an optimized crystal structure of Ti3P2.

abc: 3.449 9.136 9.614
angles: 90.00 90.00 90.00
Positions (direct):
Ti (0.250, 0.625, 0.543)
Ti (0.250, 0.875, 0.043)
Ti (0.750, 0.375, 0.457)
Ti (0.750, 0.125, 0.957)
Ti (0.750, 0.067, 0.626)
Ti (0.750, 0.433, 0.126)
Ti (0.250, 0.933, 0.374)
Ti (0.250, 0.567, 0.874)
Ti (0.250, 0.297, 0.717)
Ti (0.250, 0.203, 0.217)
Ti (0.750, 0.703, 0.283)
Ti (0.750, 0.797, 0.783)
P (0.250, 0.179, 0.475)
P (0.250, 0.321, 0.975)
P (0.750, 0.821, 0.525)
P (0.750, 0.679, 0.025)
P (0.750, 0.501, 0.693)
P (0.750, 0.999, 0.193)
P (0.250, 0.499, 0.307)
P (0.250, 0.001, 0.807)

Values from the calculation:
Density of states at the Fermi level   11.027 states/eV/cell
Total energy   -0.5930 Ry/atom
Formation energy   -1167 meV/atom

***

No. 15
A plane-wave DFT calculation with PBE-GGA was carried out for an optimized crystal structure of Ti2TlP.

abc: 7.096 7.096 5.831
angles: 52.52 52.52 90.00
Positions (direct):
P (0.500, 0.500, 0.000)
P (0.250, 0.750, 0.500)
Tl (0.000, 0.000, 0.000)
Tl (0.750, 0.250, 0.500)
Ti (0.584, 0.125, 0.250)
Ti (0.166, 0.625, 0.250)
Ti (0.375, 0.416, 0.750)
Ti (0.875, 0.834, 0.750)

Values from the calculation:
Offset from the most stable computed form   0.000 eV/atom
Density of states at the Fermi level   0.916 states/eV/cell
Total energy   -0.4486 Ry/atom
Formation energy   -212 meV/atom

***

No. 16
A plane-wave DFT calculation with PBE-GGA was carried out for an optimized crystal structure of Ti3TlP.

abc: 5.068 5.068 5.068
angles: 90.00 90.00 90.00
Site moments in Bohr magnetons follow the coordinates.
Positions (direct):
P (0.500, 0.500, 0.500)  -0.14
Tl (0.000, 0.000, 0.000)  -0.03
Ti (0.000, 0.500, 0.000)  1.09
Ti (0.000, 0.000, 0.500)  1.14
Ti (0.500, 0.000, 0.000)  1.20

Values from the calculation:
Offset from the most stable computed form   1.614 eV/atom
Density of states at the Fermi level   7.151 states/eV/cell
Total energy   -0.3644 Ry/atom
Formation energy   1335 meV/atom

***

No. 17
A plane-wave DFT calculation with PBE-GGA was carried out for an optimized crystal structure of TiTlP3.

abc: 4.780 4.780 4.780
angles: 90.00 90.00 90.00
Positions (direct):
P (0.000, 0.500, 0.000)
P (0.000, 0.000, 0.500)
P (0.500, 0.000, 0.000)
Tl (0.500, 0.500, 0.500)
Ti (0.000, 0.000, 0.000)

Values from the calculation:
Offset from the most stable computed form   0.000 eV/atom
Density of states at the Fermi level   4.714 states/eV/cell
Total energy   -0.3806 Ry/atom
Formation energy   119 meV/atom

***

No. 18
A plane-wave DFT calculation with PBE-GGA was carried out for an optimized crystal structure of TiTlP3.

abc: 4.979 4.979 4.979
angles: 90.00 90.00 90.00
Positions (direct):
P (0.000, 0.500, 0.000)
P (0.000, 0.000, 0.500)
P (0.500, 0.000, 0.000)
Tl (0.000, 0.000, 0.000)
Ti (0.500, 0.500, 0.500)

Values from the calculation:
Offset from the most stable computed form   1.394 eV/atom
Density of states at the Fermi level   6.898 states/eV/cell
Total energy   -0.2782 Ry/atom
Formation energy   1513 meV/atom

***

No. 19
A plane-wave DFT calculation with PBE-GGA was carried out for an optimized crystal structure of Ti2TlP.

abc: 4.610 4.610 4.610
angles: 60.00 60.00 60.00
Positions (direct):
P (0.000, 0.000, 0.000)
Tl (0.500, 0.500, 0.500)
Ti (0.250, 0.250, 0.250)
Ti (0.750, 0.750, 0.750)

Values from the calculation:
Offset from the most stable computed form   0.195 eV/atom
Density of states at the Fermi level   5.163 states/eV/cell
Total energy   -0.4342 Ry/atom
Formation energy   -17 meV/atom

***

No. 20
A plane-wave DFT calculation with PBE-GGA was carried out for an optimized crystal structure of Ti3TlP.

abc: 4.582 4.582 4.582
angles: 90.00 90.00 90.00
Positions (direct):
P (0.000, 0.000, 0.000)
Tl (0.500, 0.500, 0.500)
Ti (0.000, 0.500, 0.000)
Ti (0.000, 0.000, 0.500)
Ti (0.500, 0.000, 0.000)

Values from the calculation:
Offset from the most stable computed form   0.000 eV/atom
Density of states at the Fermi level   3.361 states/eV/cell
Total energy   -0.4830 Ry/atom
Formation energy   -280 meV/atom